1.
VASP calculation (GGA-PBE) on a geometry-optimized TlSb2Br structure.

Computed properties:
* mass density: 6129 kg/m³
* magnetic moment: 0.0 Bohr magnetons per cell
* volume: 35.8 Å³/atom
* ΔE to the lowest computed polymorph: 0.164 eV per atom
* E_form (uncorrected): -3.6 kcal/mol of atoms
* raw total energy: -3.23 eV per atom

Unit cell a=4.170 b=6.825 c=5.025 alpha=90.00 beta=90.50 gamma=90.00
Space group P2/m (No. 10)
Inequivalent atoms, fractional coordinates:
Tl  0.000  0.000  0.000 [1 per cell]
Sb  0.257  0.500  0.188 [2 per cell]
Br  0.500  0.000  0.500 [1 per cell]

***

2.
VASP calculation (GGA-PBE) on a geometry-optimized Pa2Ga4Cu structure.

Computed properties:
* mass density: 8967 kg/m³
* magnetic moment: 0.0 Bohr magnetons per cell
* volume: 21.3 Å³/atom
* energy of formation: 0.031 eV per atom
* raw total energy: -5.00 eV per atom

Unit cell a=4.475 b=4.475 c=14.879 alpha=90.00 beta=90.00 gamma=90.00
Space group I4/mmm (No. 139)
Inequivalent atoms, fractional coordinates:
Pa  0.000  0.000  0.144 [4 per cell]
Ga  0.000  0.000  0.336 [4 per cell]
Ga  0.000  0.500  0.000 [4 per cell]
Cu  0.000  0.000  0.500 [2 per cell]

***

3.
VASP calculation (GGA-PBE) on a geometry-optimized Pm5Nd2Ho12 structure.

Computed properties:
* mass density: 7908 kg/m³
* magnetic moment: 0.0 Bohr magnetons per cell
* volume: 33.1 Å³/atom
* ΔE to the lowest computed polymorph: 0.046 eV per atom
* energy of formation: 0.127 eV per atom
* raw total energy: -4.52 eV per atom

Unit cell a=15.639 b=9.300 c=8.647 alpha=90.00 beta=92.12 gamma=90.00
Space group C2/m (No. 12)
Inequivalent atoms, fractional coordinates:
Pm  0.000  0.000  0.000 [2 per cell]
Pm  0.206  0.500  0.518 [4 per cell]
Pm  0.230  0.000  0.072 [4 per cell]
Nd  0.000  0.324  0.500 [4 per cell]
Ho  0.057  0.500  0.836 [4 per cell]
Ho  0.077  0.000  0.376 [4 per cell]
Ho  0.129  0.310  0.163 [8 per cell]
Ho  0.149  0.179  0.742 [8 per cell]